Computed, not measured: a relaxed Tm2H2IBr3 crystal at the PBE level of DFT.

Calculated density = 5.973 g/cm3
Space group = No. 156
Calculated total energy = -4.1822 eV per atom

Unit cell a=3.820 b=3.820 c=15.545 alpha=90.00 beta=90.00 gamma=120.00
Fractional positions:
Br: 0.667 0.333 0.129
Br: 0.667 0.333 0.372
Br: 0.000 0.000 0.624
H: 0.000 0.000 0.250
H: 0.667 0.333 0.748
I: 0.000 0.000 0.882
Tm: 0.333 0.667 0.250
Tm: 0.333 0.667 0.745